(1)
CuNiHRuCSe: optimized geometry, GGA-PBE.

As for the crystal system: monoclinic. As for the energy above the most stable polymorph in this dataset: 50 meV/atom. The value obtained for the calculated volume is 142 Å³/cell.

The structure belongs to space group Cm (No. 8); the cell edges are 12.031, 3.247 and 3.821 Å and the angles 90.00°, 108.39° and 90.00°. The asymmetric unit holds Cu at (0.000, 0.000, 0.000), Ni at (0.332, 0.500, 0.332), H at (0.108, 0.500, 0.108), Ru at (0.095, 0.500, 0.594), C at (0.497, 0.500, 0.497) and Se at (0.285, 0.000, 0.786).

***

(2)
CuNiHRuCSe: optimized geometry, GGA-PBE.

As for the crystal system: monoclinic. As for the energy above the most stable polymorph in this dataset: 99 meV/atom. The value obtained for the calculated volume is 156 Å³/cell.

The structure belongs to space group Cm (No. 8); the cell edges are 9.622, 2.895 and 6.428 Å and the angles 90.00°, 119.57° and 90.00°. The asymmetric unit holds Cu at (0.000, 0.000, 0.000), Ni at (0.411, 0.500, 0.532), H at (0.453, 0.000, 0.112), Ru at (0.117, 0.500, 0.408), C at (0.261, 0.000, 0.445) and Se at (0.135, 0.500, 0.806).

***

(3)
CuNiHRuCSe: optimized geometry, GGA-PBE.

As for the crystal system: monoclinic. As for the energy above the most stable polymorph in this dataset: 94 meV/atom. The value obtained for the calculated volume is 72 Å³/cell.

The structure belongs to space group Pm (No. 6); the cell edges are 5.016, 2.885 and 5.406 Å and the angles 90.00°, 112.60° and 90.00°. The asymmetric unit holds Cu at (0.000, 0.000, 0.000), Ni at (0.460, 0.500, 0.320), H at (0.683, 0.500, 0.653), Ru at (0.484, 0.500, 0.851), C at (0.432, 0.000, 0.072) and Se at (0.040, 0.500, 0.437).

***

(4)
CuNiHRuCSe: optimized geometry, GGA-PBE.

As for the crystal system: orthorhombic. As for the energy above the most stable polymorph in this dataset: 32 meV/atom. The value obtained for the calculated volume is 152 Å³/cell.

The structure belongs to space group Amm2 (No. 38); the cell edges are 2.989, 3.900 and 13.003 Å and the angles 90.00°, 90.00° and 90.00°. The asymmetric unit holds Cu at (0.000, 0.000, 0.000), Ni at (0.500, 0.000, 0.379), H at (0.500, 0.000, 0.093), Ru at (0.500, 0.000, 0.576), C at (0.000, 0.000, 0.473) and Se at (0.500, 0.000, 0.767).

***

(5)
CuNiHRuCSe: optimized geometry, GGA-PBE.

As for the crystal system: monoclinic. As for the energy above the most stable polymorph in this dataset: 29 meV/atom. The value obtained for the calculated volume is 154 Å³/cell.

The structure belongs to space group Cm (No. 8); the cell edges are 12.342, 3.803 and 3.349 Å and the angles 90.00°, 101.39° and 90.00°. The asymmetric unit holds Cu at (0.000, 0.000, 0.000), Ni at (0.373, 0.000, 0.136), H at (0.107, 0.000, 0.545), Ru at (0.092, 0.500, 0.547), C at (0.006, 0.500, 0.968) and Se at (0.262, 0.500, 0.122).

***

(6)
CuNiHRuCSe: optimized geometry, GGA-PBE.

As for the crystal system: monoclinic. As for the energy above the most stable polymorph in this dataset: 17 meV/atom. The value obtained for the calculated volume is 163 Å³/cell.

The structure belongs to space group Cm (No. 8); the cell edges are 12.950, 2.898 and 4.515 Å and the angles 90.00°, 105.94° and 90.00°. The asymmetric unit holds Cu at (0.000, 0.000, 0.000), Ni at (0.168, 0.500, 0.418), H at (0.427, 0.000, 0.799), Ru at (0.480, 0.000, 0.494), C at (0.078, 0.000, 0.459) and Se at (0.284, 0.000, 0.221).

***

(7)
CuNiHRuCSe: optimized geometry, GGA-PBE.

As for the crystal system: monoclinic. As for the energy above the most stable polymorph in this dataset: 90 meV/atom. The value obtained for the calculated volume is 82 Å³/cell.

The structure belongs to space group Pm (No. 6); the cell edges are 4.715, 2.898 and 6.329 Å and the angles 90.00°, 108.83° and 90.00°. The asymmetric unit holds Cu at (0.000, 0.000, 0.000), Ni at (0.595, 0.500, 0.635), H at (0.123, 0.500, 0.886), Ru at (0.500, 0.500, 0.007), C at (0.549, 0.000, 0.815) and Se at (0.756, 0.000, 0.383).

***

(8)
CuNiHRuCSe: optimized geometry, GGA-PBE.

As for the crystal system: monoclinic. As for the energy above the most stable polymorph in this dataset: 73 meV/atom. The value obtained for the calculated volume is 74 Å³/cell.

The structure belongs to space group Pm (No. 6); the cell edges are 4.930, 2.923 and 5.271 Å and the angles 90.00°, 101.53° and 90.00°. The asymmetric unit holds Cu at (0.000, 0.000, 0.000), Ni at (0.456, 0.500, 0.194), H at (0.725, 0.500, 0.475), Ru at (0.584, 0.500, 0.743), C at (0.574, 0.000, 0.996) and Se at (0.214, 0.000, 0.468).

***

Q: Number 1 is which compound?
A: CuNiHRuCSe

***

Q: Which value of calculated volume does entry 2 give?
A: 156 Å³/cell

***

Q: Which value of calculated volume does entry 7 give?
A: 82 Å³/cell